Here is an optimized crystal structure of NbCrTeIr2 from Alexandria via LeMat-Bulk. Energies are from PBE-GGA.

Summary:
**Formation energy from raw total energies**: 1.3450 eV per atom
**Space group**: No. 123
**Magnetic moment**: 3.4 μB per formula unit
**D(E_F)**: 3.8 states/eV per cell

a = 4.821 Å, b = 4.821 Å, c = 4.785 Å
α = 90.00°, β = 90.00°, γ = 90.00°
Fractional coordinates of all 5 atoms:
Nb 0.000 0.000 0.000
Cr 0.000 0.000 0.500
Te 0.500 0.500 0.500
Ir 0.000 0.500 0.000
Ir 0.500 0.000 0.000